# 1
Compound: KPW
Source: the Alexandria database
Functional: SCAN
Structure: single point on PBEsol structure

Unit cell a=6.2502 b=6.2502 c=6.2502 alpha=90.00 beta=90.00 gamma=90.00
With the nearest neighbours (Å) after each atom.
Space group F-43m (No. 216)
Inequivalent atoms, fractional coordinates:
K1 0.0000 0.0000 0.0000 (multiplicity 4)  4 P 2.71
P1 0.2500 0.2500 0.7500 (multiplicity 4)  4 W 2.71, 4 K 2.71
W1 0.0000 0.0000 0.5000 (multiplicity 4)  4 P 2.71

Output
Formation energy from the elements ... 139.2 kJ/mol of atoms
Volume ... 244 Å³ per cell
Crystal system ... cubic
E above lowest polymorph ... 0 meV/atom

---

# 2
Compound: KPW4
Source: the Alexandria database
Functional: SCAN
Structure: single point on PBEsol structure

Unit cell a=7.6109 b=7.6109 c=7.6109 alpha=90.00 beta=90.00 gamma=90.00
With the nearest neighbours (Å) after each atom.
Space group F-43m (No. 216)
Inequivalent atoms, fractional coordinates:
K1 0.0000 0.0000 0.0000 (multiplicity 4)  12 W 3.15, 4 P 3.30
P1 0.2500 0.2500 0.2500 (multiplicity 4)  12 W 3.16, 4 K 3.30
W1 0.1267 0.1267 0.6267 (multiplicity 16)  6 W 2.65-2.73

Output
Formation energy from the elements ... 147.2 kJ/mol of atoms
Volume ... 441 Å³ per cell
Crystal system ... cubic

---

# 3
Compound: KY2P
Source: the Alexandria database
Functional: SCAN
Structure: single point on PBEsol structure

Unit cell a=3.8003 b=3.8811 c=18.0413 alpha=90.00 beta=90.00 gamma=90.00
With the nearest neighbours (Å) after each atom.
Space group Amm2 (No. 38)
Inequivalent atoms, fractional coordinates:
K1 0.0000 0.0000 0.0000 (multiplicity 2)  2 P 3.46, 2 K 3.80
Y1 0.0000 0.0000 0.6864 (multiplicity 2)  4 P 2.76
Y2 0.5000 0.0000 0.3111 (multiplicity 2)  1 P 2.73
P1 0.5000 0.0000 0.1599 (multiplicity 2)  5 Y 2.73-2.76

Output
Formation energy from the elements ... -58.7 kJ/mol of atoms
Volume ... 266 Å³ per cell
Crystal system ... orthorhombic

---

# 4
Compound: KY2P
Source: the Alexandria database
Functional: SCAN
Structure: single point on PBEsol structure

Unit cell a=6.7500 b=10.2502 c=3.4691 alpha=90.00 beta=120.01 gamma=90.00
With the nearest neighbours (Å) after each atom.
Space group C2/m (No. 12)
Inequivalent atoms, fractional coordinates:
K1 0.0000 0.0000 0.0000 (multiplicity 2)  4 Y 3.08, 4 P 3.38-3.42
Y1 0.2500 0.2500 0.5000 (multiplicity 4)  2 K 3.08, 2 P 3.08, 4 Y 3.38-3.42
P1 0.0000 0.5000 0.0000 (multiplicity 2)  4 Y 3.08, 4 K 3.38-3.42

Output
Formation energy from the elements ... 10.9 kJ/mol of atoms
Volume ... 208 Å³ per cell
Crystal system ... monoclinic

---

# 5
Compound: KY3P
Source: the Alexandria database
Functional: SCAN
Structure: single point on PBEsol structure

Unit cell a=5.4461 b=5.4461 c=5.4461 alpha=90.00 beta=90.00 gamma=90.00
With the nearest neighbours (Å) after each atom.
Space group Pm-3m (No. 221)
Inequivalent atoms, fractional coordinates:
K1 0.0000 0.0000 0.0000 (multiplicity 1)  12 Y 3.85
Y1 0.0000 0.5000 0.5000 (multiplicity 3)  2 P 2.72
P1 0.5000 0.5000 0.5000 (multiplicity 1)  6 Y 2.72

Output
Formation energy from the elements ... -26.5 kJ/mol of atoms
Volume ... 162 Å³ per cell
Crystal system ... cubic

---

# 6
Compound: KY2P
Source: the Alexandria database
Functional: SCAN
Structure: single point on PBEsol structure

Unit cell a=3.6814 b=3.7831 c=20.3446 alpha=90.00 beta=90.00 gamma=90.00
With the nearest neighbours (Å) after each atom.
Space group Imm2 (No. 44)
Inequivalent atoms, fractional coordinates:
K1 0.0000 0.0000 0.0000 (multiplicity 2)  4 K 3.68-3.78
Y1 0.0000 0.0000 0.3313 (multiplicity 2)  2 P 2.77
Y2 0.0000 0.5000 0.1884 (multiplicity 2)  4 P 2.77
P1 0.0000 0.5000 0.7297 (multiplicity 2)  6 Y 2.77

Output
Formation energy from the elements ... -49.1 kJ/mol of atoms
Volume ... 283 Å³ per cell
Crystal system ... orthorhombic

---

# 7
Compound: KZnP
Source: the Alexandria database
Functional: SCAN
Structure: single point on PBEsol structure

Unit cell a=3.5265 b=3.5265 c=11.4646 alpha=90.00 beta=90.00 gamma=90.00
With the nearest neighbours (Å) after each atom.
Space group I4mm (No. 107)
Inequivalent atoms, fractional coordinates:
K1 0.0000 0.0000 0.0000 (multiplicity 2)  1 Zn 2.95, 1 P 3.11
Zn1 0.0000 0.0000 0.2570 (multiplicity 2)  4 P 2.51
P1 0.0000 0.0000 0.7288 (multiplicity 2)  4 Zn 2.51

Output
Formation energy from the elements ... -5.7 kJ/mol of atoms
Volume ... 143 Å³ per cell
Crystal system ... tetragonal

---

# 8
Compound: KZnP
Source: the Alexandria database
Functional: SCAN
Structure: single point on PBEsol structure

Unit cell a=4.0402 b=4.0402 c=10.0460 alpha=90.00 beta=90.00 gamma=120.00
With the nearest neighbours (Å) after each atom.
Space group P6_3/mmc (No. 194)
Inequivalent atoms, fractional coordinates:
K1 0.0000 0.0000 0.0000 (multiplicity 2)  6 Zn 3.43, 6 P 3.43
Zn1 0.3333 0.6667 0.2500 (multiplicity 2)  3 P 2.33
P1 0.3333 0.6667 0.7500 (multiplicity 2)  3 Zn 2.33

Output
Formation energy from the elements ... -55.0 kJ/mol of atoms
Volume ... 142 Å³ per cell
Crystal system ... hexagonal

---

# 9
Compound: K2ZnP
Source: the Alexandria database
Functional: SCAN
Structure: single point on PBEsol structure

Unit cell a=7.3528 b=7.3528 c=7.3528 alpha=90.00 beta=90.00 gamma=90.00
With the nearest neighbours (Å) after each atom.
Space group F-43m (No. 216)
Inequivalent atoms, fractional coordinates:
K1 0.0000 0.0000 0.0000 (multiplicity 4)  4 K 3.18, 4 P 3.18
K2 0.2500 0.2500 0.2500 (multiplicity 4)  4 K 3.18, 4 Zn 3.18
Zn1 0.0000 0.0000 0.5000 (multiplicity 4)  4 K 3.18, 4 P 3.18
P1 0.2500 0.2500 0.7500 (multiplicity 4)  4 K 3.18, 4 Zn 3.18

Output
Formation energy from the elements ... 3.3 kJ/mol of atoms
Volume ... 398 Å³ per cell
Crystal system ... cubic

---

# 10
Compound: K2ZrP
Source: the Alexandria database
Functional: SCAN
Structure: single point on PBEsol structure

Unit cell a=3.6544 b=3.6544 c=10.4596 alpha=90.00 beta=90.00 gamma=90.00
With the nearest neighbours (Å) after each atom.
Space group P4mm (No. 99)
Inequivalent atoms, fractional coordinates:
K1 0.0000 0.0000 0.0000 (multiplicity 1)  1 P 3.26
K2 0.5000 0.5000 0.3802 (multiplicity 1)  1 Zr 3.45, 4 K 3.65
Zr1 0.5000 0.5000 0.7096 (multiplicity 1)  4 P 2.59
P1 0.0000 0.0000 0.6886 (multiplicity 1)  4 Zr 2.59

Output
Formation energy from the elements ... -31.0 kJ/mol of atoms
Volume ... 140 Å³ per cell
Crystal system ... tetragonal

---

# 11
Compound: KZrP
Source: the Alexandria database
Functional: SCAN
Structure: single point on PBEsol structure

Unit cell a=6.5605 b=6.5605 c=6.5605 alpha=90.00 beta=90.00 gamma=90.00
With the nearest neighbours (Å) after each atom.
Space group F-43m (No. 216)
Inequivalent atoms, fractional coordinates:
K1 0.0000 0.0000 0.0000 (multiplicity 4)  4 P 2.84
Zr1 0.0000 0.0000 0.5000 (multiplicity 4)  4 P 2.84
P1 0.2500 0.2500 0.7500 (multiplicity 4)  4 Zr 2.84, 4 K 2.84

Output
Formation energy from the elements ... 13.5 kJ/mol of atoms
Volume ... 282 Å³ per cell
Crystal system ... cubic

---

# 12
Compound: K2ZrP
Source: the Alexandria database
Functional: SCAN
Structure: single point on PBEsol structure

Unit cell a=6.8371 b=3.9455 c=10.9807 alpha=90.00 beta=101.03 gamma=90.00
With the nearest neighbours (Å) after each atom.
Space group Cm (No. 8)
Inequivalent atoms, fractional coordinates:
K1 0.0000 0.0000 0.0000 (multiplicity 2)  6 K 3.95, 3 Zr 4.02
K2 0.1891 0.0000 0.6146 (multiplicity 2)  3 P 3.21-3.22
Zr1 0.2616 0.5000 0.3078 (multiplicity 2)  3 P 2.50
P1 0.4580 0.0000 0.4040 (multiplicity 2)  3 Zr 2.50

Output
Formation energy from the elements ... -26.1 kJ/mol of atoms
Volume ... 291 Å³ per cell
Crystal system ... monoclinic